Record 1
AcNd8Er3, relaxed, DFT GGA-PBE; N(E_F) = 1.51 states/eV per atom; calculated density = 6.89 g/cm³; formation energy from the elements = 343 meV per atom
1.0
-3.331 5.807 5.865
3.331 -5.807 5.865
3.331 5.807 -5.865
Ac Nd Er
1 8 3
Cartesian
0.000 0.000 0.000
3.331 3.800 -2.864
1.515 3.244 0.000
1.816 -2.563 5.865
0.000 2.007 3.002
3.331 3.800 2.864
1.515 8.370 0.000
1.816 2.563 5.865
0.000 2.007 8.729
3.331 0.000 3.347
0.000 0.000 5.865
0.000 5.807 2.518

=====

Record 2
Ac2Nd8Er, relaxed, DFT GGA-PBE; N(E_F) = 1.35 states/eV per atom; ΔE to the lowest computed polymorph = 0 meV/atom; calculated density = 7.23 g/cm³; formation energy from the elements = 160 meV per atom
1.0
7.421 -3.500 0.000
7.421 3.500 0.000
-2.103 0.000 7.848
Ac Nd Er
2 8 1
Cartesian
2.044 0.000 2.004
10.694 0.000 5.844
6.082 1.648 1.120
2.103 0.000 6.327
6.656 1.648 6.728
4.741 0.000 4.162
7.998 0.000 3.686
6.082 -1.648 1.120
10.635 0.000 1.521
6.656 -1.648 6.728
-1.052 0.000 3.924

=====

Record 3
AcNd2ErP4, relaxed, DFT GGA-PBE; N(E_F) = 0.09 states/eV per atom; calculated density = 6.41 g/cm³; formation energy from the elements = -1485 meV per atom
1.0
7.265 0.000 0.000
0.000 4.197 0.000
-2.407 0.000 6.857
Ac Nd Er P
1 2 1 4
Cartesian
0.000 0.000 0.000
-1.204 2.098 3.428
2.429 0.000 3.428
3.633 2.098 0.000
0.092 0.000 5.165
1.302 2.098 1.751
3.556 2.098 5.106
4.766 0.000 1.692

=====

Record 4
Ac2NdErP4, relaxed, DFT GGA-PBE; N(E_F) = 0.08 states/eV per atom; calculated density = 6.75 g/cm³; formation energy from the elements = -1476 meV per atom
1.0
7.372 0.000 0.000
0.000 4.261 0.000
-2.455 0.000 6.969
Ac Nd Er P
2 1 1 4
Cartesian
0.000 0.000 0.000
3.686 2.130 0.000
-1.227 2.130 3.485
2.459 0.000 3.485
0.042 0.000 5.100
1.267 2.130 1.891
3.650 2.130 5.078
4.875 0.000 1.869

=====

Record 5
AcNdErPb, relaxed, DFT GGA-PBE; N(E_F) = 1.59 states/eV per atom; calculated density = 9.64 g/cm³; formation energy from the elements = -72 meV per atom
1.0
0.000 4.005 4.005
4.005 0.000 4.005
4.005 4.005 0.000
Ac Nd Er Pb
1 1 1 1
Cartesian
0.000 0.000 0.000
6.007 6.007 6.007
2.002 2.002 2.002
4.005 4.005 4.005

=====

Record 6
Ac2PmNd5Er, relaxed, DFT GGA-PBE; N(E_F) = 1.41 states/eV per atom; calculated density = 7.36 g/cm³; formation energy from the elements = 131 meV per atom
1.0
2.926 -10.397 0.000
2.926 10.397 0.000
0.000 0.000 11.039
Ac Pm Nd Er
4 2 10 2
Cartesian
2.926 8.080 5.520
2.926 7.930 0.962
2.926 -7.930 6.482
2.926 -8.080 0.000
2.926 6.094 8.533
2.926 -6.094 3.013
2.926 9.990 8.728
2.926 4.512 0.798
2.926 4.256 5.131
2.926 2.193 8.729
2.926 0.400 5.628
2.926 -0.400 0.108
2.926 -2.193 3.209
2.926 -4.256 10.651
2.926 -4.512 6.318
2.926 -9.990 3.208
2.926 1.902 2.566
2.926 -1.902 8.085

=====

Record 7
AcPmNdEr, relaxed, DFT GGA-PBE; N(E_F) = 1.19 states/eV per atom; ΔE to the lowest computed polymorph = 0 meV/atom; calculated density = 7.85 g/cm³; formation energy from the elements = 52 meV per atom
1.0
3.737 0.000 0.000
-1.869 3.236 0.000
0.000 0.000 11.950
Ac Pm Nd Er
1 1 1 1
Cartesian
0.000 0.000 0.000
0.000 2.158 5.861
1.869 1.079 8.800
1.869 1.079 3.036

=====

Record 8
AcPm6NdEr2, relaxed, DFT GGA-PBE; N(E_F) = 1.42 states/eV per atom; calculated density = 7.43 g/cm³; formation energy from the elements = 120 meV per atom
1.0
4.700 -7.695 0.000
4.700 7.695 0.000
-1.035 0.000 9.732
Ac Pm Nd Er
2 12 2 4
Cartesian
3.924 7.208 7.299
4.441 -7.208 2.433
1.966 4.151 6.608
4.019 4.894 0.538
4.864 4.894 4.329
2.875 1.685 8.573
5.882 4.151 7.991
4.974 1.685 6.026
3.392 -1.685 3.707
2.484 -4.151 1.742
5.491 -1.685 1.159
3.502 -4.894 5.404
4.347 -4.894 9.195
6.399 -4.151 3.124
4.441 1.400 2.433
3.924 -1.400 7.299
1.825 0.821 5.335
2.342 -0.821 0.469
6.023 0.821 9.264
6.541 -0.821 4.397

=====

Record 9
AcPm3NdEr, relaxed, DFT GGA-PBE; N(E_F) = 1.65 states/eV per atom; calculated density = 7.59 g/cm³; formation energy from the elements = 37 meV per atom
1.0
8.256 0.000 0.000
0.000 5.223 0.000
-3.341 0.000 9.878
Ac Pm Nd Er
2 6 2 2
Cartesian
0.416 1.306 2.899
4.500 3.917 6.979
1.275 3.917 0.399
-1.227 1.306 7.822
-0.401 3.917 5.392
5.316 1.306 4.486
6.142 3.917 2.056
3.640 1.306 9.478
1.176 3.917 8.639
3.739 1.306 1.239
2.023 1.306 6.181
2.893 3.917 3.697

=====

Record 10
AcPmNd5Er2, relaxed, DFT GGA-PBE; N(E_F) = 1.24 states/eV per atom; calculated density = 7.26 g/cm³; formation energy from the elements = 144 meV per atom
1.0
2.805 -12.176 0.000
2.805 12.176 0.000
0.000 0.000 9.556
Ac Pm Nd Er
2 2 10 4
Cartesian
2.805 9.681 4.778
2.805 -9.681 0.000
2.805 5.731 8.521
2.805 -5.731 3.743
2.805 11.573 1.640
2.805 9.627 8.531
2.805 7.584 1.907
2.805 6.312 5.431
2.805 0.197 3.726
2.805 -0.197 8.504
2.805 -6.312 0.653
2.805 -7.584 6.685
2.805 -9.627 3.753
2.805 -11.573 6.418
2.805 4.210 2.432
2.805 2.728 6.072
2.805 -2.728 1.294
2.805 -4.210 7.210

=====

Record 11
AcPmNdEr, relaxed, DFT GGA-PBE; N(E_F) = 2.62 states/eV per atom; ΔE to the lowest computed polymorph = 117 meV/atom; calculated density = 7.79 g/cm³; formation energy from the elements = 169 meV per atom
1.0
0.000 4.176 4.176
4.176 0.000 4.176
4.176 4.176 0.000
Ac Pm Nd Er
1 1 1 1
Cartesian
0.000 0.000 0.000
6.264 6.264 6.264
2.088 2.088 2.088
4.176 4.176 4.176

=====

Record 12
AcPm4Nd2Er, relaxed, DFT GGA-PBE; N(E_F) = 2.29 states/eV per atom; calculated density = 7.27 g/cm³; formation energy from the elements = 385 meV per atom
1.0
6.974 -6.799 0.000
6.974 6.799 0.000
-3.538 0.000 6.082
Ac Pm Nd Er
2 8 4 2
Cartesian
3.487 3.400 0.000
1.718 -3.400 3.041
1.701 0.105 2.952
5.150 3.487 3.130
3.490 3.487 5.992
-0.068 -0.105 5.993
10.478 0.105 0.089
6.919 -3.487 0.089
5.259 -3.487 2.951
8.709 -0.105 3.130
1.718 3.400 3.041
3.487 -3.400 0.000
6.974 0.000 0.000
5.205 0.000 3.041
0.000 0.000 0.000
-1.769 0.000 3.041

=====

Record 13
AcPmNd4Er2, relaxed, DFT GGA-PBE; N(E_F) = 1.57 states/eV per atom; calculated density = 7.59 g/cm³; formation energy from the elements = 33 meV per atom
1.0
5.805 -2.597 0.000
5.805 2.597 0.000
-4.699 0.000 9.316
Ac Pm Nd Er
1 1 4 2
Cartesian
0.000 0.000 0.000
-2.349 0.000 4.658
-1.215 0.000 8.106
1.141 0.000 3.521
5.771 0.000 5.794
8.127 0.000 1.210
4.598 0.000 2.379
2.314 0.000 6.936

=====

Record 14
AcPm2NdEr4, relaxed, DFT GGA-PBE; N(E_F) = 2.40 states/eV per atom; calculated density = 7.95 g/cm³; formation energy from the elements = 429 meV per atom
1.0
-3.452 5.989 6.721
3.452 -5.989 6.721
3.452 5.989 -6.721
Ac Pm Nd Er
2 4 2 8
Cartesian
0.000 0.000 0.000
0.000 5.989 0.000
3.452 0.000 0.000
-1.726 2.994 3.361
0.000 0.000 6.721
1.726 2.994 3.361
1.726 2.994 -3.361
1.726 -2.994 3.361
3.452 0.011 3.252
1.812 2.994 0.011
5.091 2.994 0.011
0.000 0.011 3.469
3.452 5.978 3.252
-1.640 2.994 6.710
1.640 2.994 6.710
0.000 5.978 3.469

=====

Record 15
AcPm2NdEr5, relaxed, DFT GGA-PBE; N(E_F) = 1.09 states/eV per atom; calculated density = 8.21 g/cm³; formation energy from the elements = 248 meV per atom
1.0
-4.400 4.400 7.824
4.400 -4.400 7.824
4.400 4.400 -7.824
Ac Pm Nd Er
2 4 2 10
Cartesian
0.000 0.000 3.912
0.000 0.000 11.737
5.429 1.029 0.000
1.029 3.371 0.000
3.371 1.029 7.824
-1.029 3.371 7.824
4.400 0.000 3.912
0.000 4.400 3.912
0.000 0.000 0.000
2.587 1.813 -2.059
2.587 -1.813 5.765
2.587 1.813 2.059
2.587 -1.813 9.884
0.000 0.000 7.824
1.813 6.213 -2.059
1.813 2.587 5.765
1.813 6.213 2.059
1.813 2.587 9.884

=====

Record 16
AcPmNd2Er, relaxed, DFT GGA-PBE; N(E_F) = 1.38 states/eV per atom; calculated density = 7.24 g/cm³; formation energy from the elements = 344 meV per atom
1.0
4.180 -6.123 0.000
4.180 6.123 0.000
0.000 0.000 7.414
Ac Pm Nd Er
2 2 4 2
Cartesian
4.180 3.156 5.560
4.180 -3.156 1.853
4.180 5.412 1.853
4.180 -5.412 5.560
2.537 0.000 0.000
2.537 0.000 3.707
5.823 0.000 0.000
5.823 0.000 3.707
4.180 2.357 1.853
4.180 -2.357 5.560

=====

Record 17
AcPm4NdEr2, relaxed, DFT GGA-PBE; N(E_F) = 1.57 states/eV per atom; calculated density = 7.69 g/cm³; formation energy from the elements = 33 meV per atom
1.0
5.163 0.000 0.000
0.000 5.192 0.000
-0.014 0.000 10.356
Ac Pm Nd Er
1 4 1 2
Cartesian
0.000 0.000 0.000
5.159 2.596 2.646
-0.010 2.596 7.709
2.579 0.000 2.659
2.570 0.000 7.697
2.575 2.596 5.178
-0.007 0.000 5.178
2.582 2.596 0.000

=====

Record 18
Ac2Pm2NdEr, relaxed, DFT GGA-PBE; N(E_F) = 1.51 states/eV per atom; calculated density = 7.87 g/cm³; formation energy from the elements = 86 meV per atom
1.0
7.348 0.000 0.000
0.000 5.921 0.000
0.000 0.000 10.235
Ac Pm Nd Er
4 4 2 2
Cartesian
0.000 0.000 0.000
1.837 2.961 1.783
3.674 0.000 0.000
5.511 2.961 8.452
1.837 0.000 3.515
1.837 2.961 8.464
5.511 0.000 6.720
5.511 2.961 1.771
0.000 2.961 5.117
3.674 2.961 5.117
1.837 0.000 6.794
5.511 0.000 3.440

=====

Record 19
AcPm2NdEr, relaxed, DFT GGA-PBE; N(E_F) = 1.40 states/eV per atom; calculated density = 7.30 g/cm³; formation energy from the elements = 344 meV per atom
1.0
4.171 -6.120 0.000
4.171 6.120 0.000
0.000 0.000 7.386
Ac Pm Nd Er
2 4 2 2
Cartesian
4.171 3.148 5.540
4.171 -3.148 1.847
2.539 0.000 0.000
2.539 0.000 3.693
5.803 0.000 0.000
5.803 0.000 3.693
4.171 5.391 1.847
4.171 -5.391 5.540
4.171 2.342 1.847
4.171 -2.342 5.540

=====

Record 20
AcPm6Nd3Er2, relaxed, DFT GGA-PBE; N(E_F) = 1.43 states/eV per atom; calculated density = 7.43 g/cm³; formation energy from the elements = 25 meV per atom
1.0
3.169 -5.486 0.000
3.169 5.486 0.000
-2.115 0.000 11.986
Ac Pm Nd Er
1 6 3 2
Cartesian
0.000 0.000 0.000
1.066 1.847 3.000
0.019 0.000 8.983
1.066 -1.847 3.000
3.157 1.847 8.987
4.204 0.000 3.004
3.157 -1.847 8.987
2.112 3.652 5.993
2.112 0.000 5.993
2.112 -3.652 5.993
3.169 1.828 0.000
3.169 -1.828 0.000

=====

Record 21
Ac2Pm5NdEr, relaxed, DFT GGA-PBE; N(E_F) = 1.37 states/eV per atom; calculated density = 7.50 g/cm³; formation energy from the elements = 139 meV per atom
1.0
2.925 -10.289 0.000
2.925 10.289 0.000
0.000 0.000 10.962
Ac Pm Nd Er
4 10 2 2
Cartesian
2.925 7.950 5.481
2.925 7.885 0.943
2.925 -7.885 6.424
2.925 -7.950 0.000
2.925 9.901 8.655
2.925 4.493 0.889
2.925 4.214 5.183
2.925 2.348 8.638
2.925 0.346 5.591
2.925 -0.346 0.110
2.925 -2.348 3.157
2.925 -4.214 10.663
2.925 -4.493 6.370
2.925 -9.901 3.174
2.925 1.850 2.556
2.925 -1.850 8.036
2.925 6.066 8.534
2.925 -6.066 3.053